(1)
5
Lattice="5.875 0.000 0.000 0.000 5.875 0.000 0.000 0.000 5.993" Properties=species:S:1:pos:R:3 comment="meta-GGA SCAN RbBSb2Te, single point on PBEsol structure" e_form_raw_ev_per_atom=2.294 pbc="T T T"
Sb 0.000 2.938 0.000
Sb 2.938 0.000 0.000
Rb 0.000 0.000 0.000
B 2.938 2.938 2.996
Te 0.000 0.000 2.996

(2)
4
Lattice="3.359 0.000 0.000 0.000 3.359 0.000 0.000 0.000 6.492" Properties=species:S:1:pos:R:3 comment="meta-GGA SCAN SrLiMn2, single point on PBEsol structure" delta_e_f_kj_per_mol_fu=348.9 pbc="T T T"
Mn 0.000 0.000 2.308
Mn 0.000 0.000 4.184
Li 1.680 1.680 3.246
Sr 1.680 1.680 0.000

(3)
8
Lattice="-2.806 2.619 3.717 -3.725 1.180 -3.643 0.412 -6.831 1.284" Properties=species:S:1:pos:R:3 comment="meta-GGA SCAN HfPIr2, single point on PBEsol structure" delta_e_f_kj_per_mol_fu=-143.6 pbc="T T T"
P -3.265 1.899 0.037
Ir -4.371 0.458 -1.259
Ir -3.558 -2.817 1.219
Hf -3.289 -1.876 -1.161
P -2.830 -1.156 2.519
Ir -3.587 0.875 1.992
Hf 0.000 0.000 0.000
Ir -0.723 -4.580 0.762

(4)
4
Lattice="-2.306 -1.577 -0.451 -0.548 -0.996 -2.591 3.527 -7.912 0.749" Properties=species:S:1:pos:R:3 comment="meta-GGA SCAN ReRu2Br, single point on PBEsol structure" polymorph_energy_ev_per_atom=0.000 e_form_raw_ev_per_atom=0.568 pbc="T T T"
Ru 0.141 -2.578 -0.584
Re 0.000 0.000 0.000
Br 0.337 -5.242 -1.147
Ru 0.533 -7.907 -1.709

(5)
4
Lattice="3.063 0.000 0.000 1.531 2.653 0.000 1.531 0.884 10.317" Properties=species:S:1:pos:R:3 comment="meta-GGA SCAN LiSc2Ta, single point on PBEsol structure" delta_e_f_kj_per_mol_fu=81.5 polymorph_energy_ev_per_atom=0.000 pbc="T T T"
Ta 3.063 1.768 5.159
Li 0.000 0.000 0.000
Sc 1.531 0.884 2.769
Sc 4.594 2.653 7.548

(6)
46
Lattice="5.068 0.000 0.000 0.000 8.156 -0.045 0.000 -1.937 14.046" Properties=species:S:1:pos:R:3 comment="meta-GGA SCAN V3P4O16, single point on PBEsol structure" e_form_raw_ev_per_atom=-2.495 pbc="T T T"
O 1.497 -0.299 7.951
O 0.802 2.672 5.520
O 0.524 5.405 7.491
O 0.836 0.437 1.724
O 1.405 1.947 12.461
P 4.597 1.782 5.341
P 3.005 4.892 12.342
P 5.043 4.740 2.006
O 2.288 2.084 3.005
V 2.534 4.078 -0.022
O 0.246 5.194 10.006
O 4.265 3.547 8.481
O 4.232 5.782 12.277
O 4.031 1.472 13.095
O 4.676 2.331 10.790
V 3.162 2.878 9.754
O 1.129 6.993 5.416
O 1.732 5.782 12.520
P 0.471 4.437 8.660
V 4.440 -0.232 2.754
O 4.822 1.025 3.995
O 0.123 -0.005 11.501
P 2.063 1.327 1.659
O 3.939 -0.774 8.585
V 1.906 3.341 4.247
O 3.570 6.518 6.050
O 3.370 2.673 5.276
O 4.544 0.814 6.510
O 3.058 3.923 13.510
V 0.628 6.451 11.247
O 3.336 0.437 1.481
O 4.944 6.224 2.500
O 2.657 1.178 9.545
O 2.142 -1.158 10.256
O 2.780 4.135 10.996
V 0.000 -0.968 7.023
O 0.392 3.888 3.211
P 2.509 6.526 4.950
O 2.926 7.377 3.745
P 0.025 1.479 11.996
O 1.037 4.747 0.906
O 1.698 3.546 8.725
O 3.663 4.272 1.540
O 2.010 2.296 0.491
P 2.559 -0.307 9.051
O 2.410 5.041 4.456

(7)
4
Lattice="-0.577 -3.317 -0.102 2.633 -0.395 -2.063 1.165 1.386 3.971" Properties=species:S:1:pos:R:3 comment="meta-GGA SCAN BeAlCo2, single point on PBEsol structure" delta_e_f_kj_per_mol_fu=-114.4 pbc="T T T"
Co 0.808 -1.893 1.394
Co 0.000 0.000 0.000
Al 1.028 -1.856 -1.082
Be 2.413 -0.432 0.413

(8)
5
Lattice="-0.994 1.156 2.200 0.608 -2.185 1.423 5.837 2.921 -0.526" Properties=species:S:1:pos:R:3 comment="meta-GGA SCAN Cu2H2W, single point on PBEsol structure" e_tot_ev_per_cell=-104.88 pbc="T T T"
Cu 1.593 0.248 2.218
W 0.000 0.000 0.000
H 3.126 0.111 1.354
H 2.325 1.781 1.743
Cu 3.857 1.645 0.879

(9)
10
Lattice="7.108 0.000 0.000 0.000 7.108 0.000 0.000 0.000 6.560" Properties=species:S:1:pos:R:3 comment="meta-GGA SCAN SiBr2Cl2, single point on PBEsol structure" e_form_raw_ev_per_atom=0.062 pbc="T T T"
Si 0.000 0.000 0.000
Cl 4.254 6.408 3.280
Si 3.554 3.554 0.000
Cl 2.854 0.700 3.280
Cl 0.700 4.254 3.280
Br 2.155 5.709 0.000
Br 1.399 2.155 0.000
Br 5.709 4.953 0.000
Cl 6.408 2.854 3.280
Br 4.953 1.399 0.000

(10)
4
Lattice="-1.964 -2.132 0.503 -0.017 -0.661 -2.867 5.678 -4.968 1.113" Properties=species:S:1:pos:R:3 comment="meta-GGA SCAN KFeNi2, single point on PBEsol structure" delta_e_f_kj_per_mol_fu=229.0 pbc="T T T"
Ni 0.442 -2.650 -0.901
Ni 0.484 -0.424 0.095
K 3.359 -5.202 -0.330
Fe 2.251 -1.970 0.441

(11)
10
Lattice="-0.160 -0.059 2.958 7.394 -0.496 0.390 0.488 7.403 0.175" Properties=species:S:1:pos:R:3 comment="meta-GGA SCAN Cu2SnAu2, single point on PBEsol structure" delta_e_f_kj_per_mol_fu=-3.7 pbc="T T T"
Au 4.779 0.700 0.272
Cu 5.202 5.870 1.883
Au 3.103 6.207 0.293
Cu 6.306 2.078 1.867
Cu 1.416 4.769 1.656
Cu 2.520 0.977 1.640
Sn 3.941 3.453 0.282
Au 1.192 2.617 0.117
Au 6.690 4.289 0.448
Sn 0.000 0.000 0.000

(12)
14
Lattice="-3.400 -0.403 -5.627 -1.384 -5.893 -2.597 -6.999 -2.274 0.537" Properties=species:S:1:pos:R:3 comment="meta-GGA SCAN GdCu3S3, single point on PBEsol structure" e_form_raw_ev_per_atom=-0.969 pbc="T T T"
Cu -5.626 -6.224 -5.082
Cu -6.157 -2.345 -2.605
Cu -5.903 -6.086 -2.387
S -5.707 -4.405 -6.539
S -7.671 -6.322 -3.891
Gd -3.192 -4.197 -5.481
S -6.077 -4.164 -1.148
Cu -7.705 -4.491 -5.271
S -7.908 -2.497 -4.078
Cu -5.880 -2.483 -5.300
Gd -8.592 -4.372 -2.206
S -3.875 -6.072 -3.609
S -4.113 -2.248 -3.796
Cu -4.079 -4.078 -2.416